# 1
The following is a GGA-PBE calculation of GeBSb2I after structural relaxation, from Alexandria via LeMat-Bulk.

Summary:
As for the total energy: -3.3352 eV/atom. The calculation puts the density of states at the Fermi level at 0.74 states/eV per atom. Its uncorrected formation energy is 0.883 eV/atom.

Geometry as CIF:
```
data_GeBSb2I
_chemical_formula_sum 'Ge1 B1 Sb2 I1'
_cell_length_a 4.9430
_cell_length_b 4.9430
_cell_length_c 4.8722
_cell_angle_alpha 90.00
_cell_angle_beta 90.00
_cell_angle_gamma 90.00
_space_group_name_H-M_alt 'P 4/m m m'
_space_group_IT_number 123
_space_group_name_Hall '-P 4 2'
loop_
_atom_site_label
_atom_site_type_symbol
_atom_site_fract_x
_atom_site_fract_y
_atom_site_fract_z
_atom_site_occupancy
Ge1 Ge 0.0000 0.0000 0.0000 1
B1 B 0.5000 0.5000 0.5000 1
Sb1 Sb 0.0000 0.5000 0.5000 1
I1 I 0.5000 0.5000 0.0000 1
```

# 2
The following is a GGA-PBE calculation of GeBSb2I after structural relaxation, from Alexandria via LeMat-Bulk.

Summary:
As for the total energy: -2.7515 eV/atom. The calculation puts the density of states at the Fermi level at 0.92 states/eV per atom. Its uncorrected formation energy is 1.466 eV/atom.

Geometry as CIF:
```
data_GeBSb2I
_chemical_formula_sum 'Ge1 B1 Sb2 I1'
_cell_length_a 5.3902
_cell_length_b 5.3902
_cell_length_c 5.7142
_cell_angle_alpha 90.00
_cell_angle_beta 90.00
_cell_angle_gamma 90.00
_space_group_name_H-M_alt 'P 4/m m m'
_space_group_IT_number 123
_space_group_name_Hall '-P 4 2'
loop_
_atom_site_label
_atom_site_type_symbol
_atom_site_fract_x
_atom_site_fract_y
_atom_site_fract_z
_atom_site_occupancy
Ge1 Ge 0.0000 0.0000 0.0000 1
B1 B 0.5000 0.5000 0.5000 1
Sb1 Sb 0.0000 0.5000 0.0000 1
I1 I 0.0000 0.0000 0.5000 1
```

# 3
The following is a GGA-PBE calculation of GeB2SeI after structural relaxation, from Alexandria via LeMat-Bulk.

Summary:
As for the total energy: -2.5703 eV/atom. The calculation puts the density of states at the Fermi level at 0.72 states/eV per atom. Its uncorrected formation energy is 2.031 eV/atom.

Geometry as CIF:
```
data_GeB2SeI
_chemical_formula_sum 'Ge1 B2 Se1 I1'
_cell_length_a 4.4931
_cell_length_b 4.4931
_cell_length_c 5.8177
_cell_angle_alpha 90.00
_cell_angle_beta 90.00
_cell_angle_gamma 90.00
_space_group_name_H-M_alt 'P 4/m m m'
_space_group_IT_number 123
_space_group_name_Hall '-P 4 2'
loop_
_atom_site_label
_atom_site_type_symbol
_atom_site_fract_x
_atom_site_fract_y
_atom_site_fract_z
_atom_site_occupancy
Ge1 Ge 0.0000 0.0000 0.0000 1
B1 B 0.0000 0.5000 0.5000 1
Se1 Se 0.5000 0.5000 0.0000 1
I1 I 0.0000 0.0000 0.5000 1
```

# 4
The following is a GGA-PBE calculation of SnGeBI2 after structural relaxation, from Alexandria via LeMat-Bulk.

Summary:
As for the total energy: -2.9734 eV/atom. The calculation puts the density of states at the Fermi level at 0.64 states/eV per atom. Its uncorrected formation energy is 0.706 eV/atom.

Geometry as CIF:
```
data_SnGeBI2
_chemical_formula_sum 'Sn1 Ge1 B1 I2'
_cell_length_a 6.1116
_cell_length_b 6.1116
_cell_length_c 3.8175
_cell_angle_alpha 90.00
_cell_angle_beta 90.00
_cell_angle_gamma 90.00
_space_group_name_H-M_alt 'P 4/m m m'
_space_group_IT_number 123
_space_group_name_Hall '-P 4 2'
loop_
_atom_site_label
_atom_site_type_symbol
_atom_site_fract_x
_atom_site_fract_y
_atom_site_fract_z
_atom_site_occupancy
Sn1 Sn 0.0000 0.0000 0.0000 1
Ge1 Ge 0.5000 0.5000 0.5000 1
B1 B 0.5000 0.5000 0.0000 1
I1 I 0.0000 0.5000 0.5000 1
```

# 5
The following is a GGA-PBE calculation of Tc2GeBI after structural relaxation, from Alexandria via LeMat-Bulk.

Summary:
As for the total energy: -4.4320 eV/atom. The calculation puts the density of states at the Fermi level at 1.03 states/eV per atom. Its uncorrected formation energy is 2.283 eV/atom.

Geometry as CIF:
```
data_Tc2GeBI
_chemical_formula_sum 'Tc2 Ge1 B1 I1'
_cell_length_a 4.9276
_cell_length_b 4.9276
_cell_length_c 4.2373
_cell_angle_alpha 90.00
_cell_angle_beta 90.00
_cell_angle_gamma 90.00
_space_group_name_H-M_alt 'P 4/m m m'
_space_group_IT_number 123
_space_group_name_Hall '-P 4 2'
loop_
_atom_site_label
_atom_site_type_symbol
_atom_site_fract_x
_atom_site_fract_y
_atom_site_fract_z
_atom_site_occupancy
Tc1 Tc 0.0000 0.5000 0.0000 1
Ge1 Ge 0.0000 0.0000 0.5000 1
B1 B 0.5000 0.5000 0.5000 1
I1 I 0.5000 0.5000 0.0000 1
```

# 6
The following is a GGA-PBE calculation of GeBTe2I after structural relaxation, from Alexandria via LeMat-Bulk.

Summary:
As for the total energy: -2.5764 eV/atom. The calculation puts the density of states at the Fermi level at 1.02 states/eV per atom. Its uncorrected formation energy is 1.249 eV/atom.

Geometry as CIF:
```
data_GeBTe2I
_chemical_formula_sum 'Ge1 B1 Te2 I1'
_cell_length_a 5.4357
_cell_length_b 5.4357
_cell_length_c 5.7561
_cell_angle_alpha 90.00
_cell_angle_beta 90.00
_cell_angle_gamma 90.00
_space_group_name_H-M_alt 'P 4/m m m'
_space_group_IT_number 123
_space_group_name_Hall '-P 4 2'
loop_
_atom_site_label
_atom_site_type_symbol
_atom_site_fract_x
_atom_site_fract_y
_atom_site_fract_z
_atom_site_occupancy
Ge1 Ge 0.0000 0.0000 0.0000 1
B1 B 0.5000 0.5000 0.5000 1
Te1 Te 0.0000 0.5000 0.0000 1
I1 I 0.0000 0.0000 0.5000 1
```

# 7
The following is a GGA-PBE calculation of GeBTeI2 after structural relaxation, from Alexandria via LeMat-Bulk.

Summary:
As for the total energy: -2.7085 eV/atom. The calculation puts the density of states at the Fermi level at 0.48 states/eV per atom. Its uncorrected formation energy is 0.799 eV/atom.

Geometry as CIF:
```
data_GeBTeI2
_chemical_formula_sum 'Ge1 B1 Te1 I2'
_cell_length_a 5.0045
_cell_length_b 5.0045
_cell_length_c 5.1895
_cell_angle_alpha 90.00
_cell_angle_beta 90.00
_cell_angle_gamma 90.00
_space_group_name_H-M_alt 'P 4/m m m'
_space_group_IT_number 123
_space_group_name_Hall '-P 4 2'
loop_
_atom_site_label
_atom_site_type_symbol
_atom_site_fract_x
_atom_site_fract_y
_atom_site_fract_z
_atom_site_occupancy
Ge1 Ge 0.0000 0.0000 0.0000 1
B1 B 0.5000 0.5000 0.5000 1
Te1 Te 0.5000 0.5000 0.0000 1
I1 I 0.0000 0.5000 0.5000 1
```

# 8
The following is a GGA-PBE calculation of GeBTeI2 after structural relaxation, from Alexandria via LeMat-Bulk.

Summary:
As for the total energy: -2.3876 eV/atom. The calculation puts the density of states at the Fermi level at 0.74 states/eV per atom. Its uncorrected formation energy is 1.120 eV/atom.

Geometry as CIF:
```
data_GeBTeI2
_chemical_formula_sum 'Ge1 B1 Te1 I2'
_cell_length_a 5.7163
_cell_length_b 5.7163
_cell_length_c 5.5283
_cell_angle_alpha 90.00
_cell_angle_beta 90.00
_cell_angle_gamma 90.00
_space_group_name_H-M_alt 'P 4/m m m'
_space_group_IT_number 123
_space_group_name_Hall '-P 4 2'
loop_
_atom_site_label
_atom_site_type_symbol
_atom_site_fract_x
_atom_site_fract_y
_atom_site_fract_z
_atom_site_occupancy
Ge1 Ge 0.0000 0.0000 0.0000 1
B1 B 0.5000 0.5000 0.5000 1
Te1 Te 0.0000 0.0000 0.5000 1
I1 I 0.0000 0.5000 0.0000 1
```

# 9
The following is a GGA-PBE calculation of GeBTe2I after structural relaxation, from Alexandria via LeMat-Bulk.

Summary:
As for the total energy: -3.0559 eV/atom. The calculation puts the density of states at the Fermi level at 0.73 states/eV per atom. Its uncorrected formation energy is 0.770 eV/atom.

Geometry as CIF:
```
data_GeBTe2I
_chemical_formula_sum 'Ge1 B1 Te2 I1'
_cell_length_a 4.9677
_cell_length_b 4.9677
_cell_length_c 4.9787
_cell_angle_alpha 90.00
_cell_angle_beta 90.00
_cell_angle_gamma 90.00
_space_group_name_H-M_alt 'P 4/m m m'
_space_group_IT_number 123
_space_group_name_Hall '-P 4 2'
loop_
_atom_site_label
_atom_site_type_symbol
_atom_site_fract_x
_atom_site_fract_y
_atom_site_fract_z
_atom_site_occupancy
Ge1 Ge 0.0000 0.0000 0.0000 1
B1 B 0.5000 0.5000 0.5000 1
Te1 Te 0.0000 0.5000 0.5000 1
I1 I 0.5000 0.5000 0.0000 1
```

# 10
The following is a GGA-PBE calculation of VGe2BI after structural relaxation, from Alexandria via LeMat-Bulk.

Summary:
As for the total energy: -4.4500 eV/atom. The calculation puts the density of states at the Fermi level at 1.32 states/eV per atom. Its uncorrected formation energy is 0.866 eV/atom.

Geometry as CIF:
```
data_VGe2BI
_chemical_formula_sum 'V1 Ge2 B1 I1'
_cell_length_a 4.4774
_cell_length_b 4.4774
_cell_length_c 4.5621
_cell_angle_alpha 90.00
_cell_angle_beta 90.00
_cell_angle_gamma 90.00
_space_group_name_H-M_alt 'P 4/m m m'
_space_group_IT_number 123
_space_group_name_Hall '-P 4 2'
loop_
_atom_site_label
_atom_site_type_symbol
_atom_site_fract_x
_atom_site_fract_y
_atom_site_fract_z
_atom_site_occupancy
V1 V 0.0000 0.0000 0.0000 1
Ge1 Ge 0.0000 0.5000 0.5000 1
B1 B 0.0000 0.0000 0.5000 1
I1 I 0.5000 0.5000 0.0000 1
```

# 11
The following is a GGA-PBE calculation of InGeB3 after structural relaxation, from Alexandria via LeMat-Bulk.

Summary:
As for the total energy: -3.1513 eV/atom. The calculation puts the density of states at the Fermi level at 0.44 states/eV per atom.

Geometry as CIF:
```
data_InGeB3
_chemical_formula_sum 'In1 Ge1 B3'
_cell_length_a 4.4952
_cell_length_b 4.4952
_cell_length_c 4.4952
_cell_angle_alpha 90.00
_cell_angle_beta 90.00
_cell_angle_gamma 90.00
_space_group_name_H-M_alt 'P m -3 m'
_space_group_IT_number 221
_space_group_name_Hall '-P 4 2 3'
loop_
_atom_site_label
_atom_site_type_symbol
_atom_site_fract_x
_atom_site_fract_y
_atom_site_fract_z
_atom_site_occupancy
In1 In 0.0000 0.0000 0.0000 1
Ge1 Ge 0.5000 0.5000 0.5000 1
B1 B 0.0000 0.0000 0.5000 1
```

# 12
The following is a GGA-PBE calculation of InGe3B after structural relaxation, from Alexandria via LeMat-Bulk.

Summary:
As for the total energy: -2.8670 eV/atom. The calculation puts the density of states at the Fermi level at 0.86 states/eV per atom.

Geometry as CIF:
```
data_InGe3B
_chemical_formula_sum 'In1 Ge3 B1'
_cell_length_a 5.2485
_cell_length_b 5.2485
_cell_length_c 5.2485
_cell_angle_alpha 90.00
_cell_angle_beta 90.00
_cell_angle_gamma 90.00
_space_group_name_H-M_alt 'P m -3 m'
_space_group_IT_number 221
_space_group_name_Hall '-P 4 2 3'
loop_
_atom_site_label
_atom_site_type_symbol
_atom_site_fract_x
_atom_site_fract_y
_atom_site_fract_z
_atom_site_occupancy
In1 In 0.0000 0.0000 0.0000 1
Ge1 Ge 0.0000 0.0000 0.5000 1
B1 B 0.5000 0.5000 0.5000 1
```

# 13
The following is a GGA-PBE calculation of In2GeB after structural relaxation, from Alexandria via LeMat-Bulk.

Summary:
As for the total energy: -3.2690 eV/atom. The calculation puts the density of states at the Fermi level at 0.51 states/eV per atom.

Geometry as CIF:
```
data_In2GeB
_chemical_formula_sum 'In8 Ge4 B4'
_cell_length_a 6.8341
_cell_length_b 6.8341
_cell_length_c 6.8341
_cell_angle_alpha 90.00
_cell_angle_beta 90.00
_cell_angle_gamma 90.00
_space_group_name_H-M_alt 'F m -3 m'
_space_group_IT_number 225
_space_group_name_Hall '-F 4 2 3'
loop_
_atom_site_label
_atom_site_type_symbol
_atom_site_fract_x
_atom_site_fract_y
_atom_site_fract_z
_atom_site_occupancy
In1 In 0.2500 0.2500 0.2500 1
Ge1 Ge 0.0000 0.0000 0.0000 1
B1 B 0.0000 0.0000 0.5000 1
```

# 14
The following is a GGA-PBE calculation of InGeB3 after structural relaxation, from Alexandria via LeMat-Bulk.

Summary:
As for the total energy: -3.7451 eV/atom. The calculation puts the density of states at the Fermi level at 0.41 states/eV per atom.

Geometry as CIF:
```
data_InGeB3
_chemical_formula_sum 'In1 Ge1 B3'
_cell_length_a 4.2312
_cell_length_b 4.2312
_cell_length_c 4.2312
_cell_angle_alpha 90.00
_cell_angle_beta 90.00
_cell_angle_gamma 90.00
_space_group_name_H-M_alt 'P m -3 m'
_space_group_IT_number 221
_space_group_name_Hall '-P 4 2 3'
loop_
_atom_site_label
_atom_site_type_symbol
_atom_site_fract_x
_atom_site_fract_y
_atom_site_fract_z
_atom_site_occupancy
In1 In 0.0000 0.0000 0.0000 1
Ge1 Ge 0.5000 0.5000 0.5000 1
B1 B 0.0000 0.5000 0.5000 1
```